# TaReBr

A geometry-optimized TaReBr structure (PBE, Alexandria).

extended XYZ file:
```
3
Lattice="4.409 0.000 0.000 -2.204 3.818 0.000 0.000 0.000 3.021" Properties=species:S:1:pos:R:3 pbc="T T T"
Ta 0.000 0.000 0.000
Re 0.000 2.546 1.511
Br 2.204 1.273 1.511
```

Summary:
Raw formation energy   0.73 eV/atom
Uncorrected energy   -7.926 eV per atom
Space group   P-6m2